[1]
DFT (PBE-GGA) results for an optimized crystal structure of PrNd4Ga5.

Properties
Formation energy = -0.554 eV/atom
Spin magnetization = 0.00 μB per formula unit

Cell lengths 3.7025, 3.7025, 18.4998 Å; angles 90.00, 90.00, 90.00 degrees
Closest atoms and distances in Å follow each position.
Space group P4/mmm (No. 123)
Inequivalent atoms, fractional coordinates:
Pr: 0.0000 0.0000 0.0000 x1  8 Ga 3.23
Nd: 0.0000 0.0000 0.2010 x2  8 Ga 3.20
Nd: 0.0000 0.0000 0.4003 x2  8 Ga 3.20
Ga: 0.5000 0.5000 0.1018 x2  4 Nd 3.20, 4 Pr 3.23
Ga: 0.5000 0.5000 0.3006 x2  8 Nd 3.20
Ga: 0.5000 0.5000 0.5000 x1  8 Nd 3.20


[2]
DFT (PBE-GGA) results for an optimized crystal structure of La4CuOsBr2.

Properties
E_form (uncorrected) = -0.8220 eV/atom
Spin magnetization = 0.00 μB per formula unit

Cell lengths 7.2622, 4.2564, 8.2845 Å; angles 90.00, 107.08, 90.00 degrees
Closest atoms and distances in Å follow each position.
Space group P2/m (No. 10)
Inequivalent atoms, fractional coordinates:
La: 0.2239 0.0000 0.1982 x2  2 Os 2.88, 1 Cu 2.94
La: 0.2514 0.5000 0.8015 x2  1 Os 2.79, 2 Cu 2.96
Cu: 0.5000 0.0000 0.0000 x1  6 La 2.94-2.96
Os: 0.0000 0.5000 0.0000 x1  6 La 2.79-2.88
Br: 0.0000 0.0000 0.5000 x1  6 La 3.36-3.38
Br: 0.5000 0.5000 0.5000 x1  6 La 3.44-3.49


[3]
DFT (PBE-GGA) results for an optimized crystal structure of TlHg2Au.

Properties
Formation energy = 0.068 eV/atom
Spin magnetization = 0.00 μB per formula unit

Cell lengths 6.2669, 6.2979, 5.0077 Å; angles 90.00, 90.00, 90.00 degrees
Closest atoms and distances in Å follow each position.
Space group Cmmm (No. 65)
Inequivalent atoms, fractional coordinates:
Tl: 0.0000 0.0000 0.0000 x2  4 Au 3.13-3.15, 8 Hg 3.35
Hg: 0.2500 0.2500 0.5000 x4  4 Hg 3.13-3.15, 4 Tl 3.35, 4 Au 3.35
Au: 0.0000 0.5000 0.0000 x2  4 Tl 3.13-3.15, 8 Hg 3.35


[4]
DFT (PBE-GGA) results for an optimized crystal structure of YCr2Pt.

Properties
Formation energy = 0.173 eV/atom
Spin magnetization = 0.00 μB per formula unit

Cell lengths 3.7829, 4.7393, 4.3859 Å; angles 90.00, 92.14, 90.00 degrees
Closest atoms and distances in Å follow each position.
Space group P2/m (No. 10)
Inequivalent atoms, fractional coordinates:
Y: 0.0000 0.0000 0.0000 x1  4 Pt 2.84-2.95, 4 Cr 3.12
Cr: 0.4700 0.5000 0.7932 x2  1 Cr 1.82
Pt: 0.5000 0.0000 0.5000 x1  4 Cr 2.70, 4 Y 2.84-2.95


[5]
DFT (PBE-GGA) results for an optimized crystal structure of Sc2RuO.

Properties
E_form (uncorrected) = -1.2873 eV/atom
Spin magnetization = 0.00 μB per formula unit

Cell lengths 3.0059, 3.0059, 6.3471 Å; angles 90.00, 90.00, 90.00 degrees
Closest atoms and distances in Å follow each position.
Space group P4/mmm (No. 123)
Inequivalent atoms, fractional coordinates:
Sc: 0.0000 0.0000 0.2345 x2  4 O 2.59, 4 Ru 2.71
Ru: 0.5000 0.5000 0.5000 x1  8 Sc 2.71, 4 Ru 3.01
O: 0.5000 0.5000 0.0000 x1  8 Sc 2.59


[6]
DFT (PBE-GGA) results for an optimized crystal structure of LiBeBr3.

Properties
E_form (uncorrected) = -0.7271 eV/atom
Spin magnetization = 0.00 μB per formula unit

Cell lengths 4.9195, 4.9195, 4.9195 Å; angles 90.00, 90.00, 90.00 degrees
Closest atoms and distances in Å follow each position.
Space group Pm-3m (No. 221)
Inequivalent atoms, fractional coordinates:
Li: 0.0000 0.0000 0.0000 x1  12 Br 3.48
Be: 0.5000 0.5000 0.5000 x1  6 Br 2.46
Br: 0.0000 0.5000 0.5000 x3  2 Be 2.46


[7]
DFT (PBE-GGA) results for an optimized crystal structure of KNaCd2Ag.

Properties
Formation energy = -0.040 eV/atom
Spin magnetization = 0.00 μB per formula unit

Cell lengths 4.6367, 4.9140, 13.1077 Å; angles 90.00, 90.00, 90.00 degrees
Closest atoms and distances in Å follow each position.
Space group Imm2 (No. 44)
Inequivalent atoms, fractional coordinates:
K: 0.0000 0.0000 0.0000 x2  4 Ag 3.66, 8 Cd 3.66-4.06, 2 Na 3.86
Na: 0.0000 0.5000 0.7357 x2  2 Ag 2.98, 2 Cd 3.10
Cd: 0.0000 0.0000 0.3926 x2  1 Ag 2.80, 2 Na 3.10, 2 Cd 3.12
Cd: 0.0000 0.5000 0.2457 x2  2 Ag 2.95, 2 Cd 3.12
Ag: 0.0000 0.0000 0.6065 x2  3 Cd 2.80-2.95, 2 Na 2.98


[8]
DFT (PBE-GGA) results for an optimized crystal structure of MnFe2Br.

Properties
E_form (uncorrected) = 0.4933 eV/atom
Spin magnetization = 8.80 μB per formula unit

Cell lengths 7.6701, 2.9881, 6.6269 Å; angles 90.00, 94.86, 90.00 degrees
Closest atoms and distances in Å follow each position.
Space group Cm (No. 8)
Inequivalent atoms, fractional coordinates:
Mn: 0.0000 0.0000 0.0000 x2  5 Fe 2.47-2.66, 2 Br 2.52
Fe: 0.2340 0.5000 0.1847 x2  3 Fe 2.37-2.42, 3 Mn 2.47-2.56
Fe: 0.4604 0.0000 0.3254 x2  3 Fe 2.37-2.42, 1 Br 2.48
Br: 0.4372 0.0000 0.6964 x2  1 Fe 2.48, 2 Mn 2.52


[9]
DFT (PBE-GGA) results for an optimized crystal structure of SrScAu2.

Properties
Formation energy = -0.733 eV/atom
Spin magnetization = 0.00 μB per formula unit

Cell lengths 3.5957, 3.5441, 7.4216 Å; angles 90.00, 90.09, 90.00 degrees
Closest atoms and distances in Å follow each position.
Space group P2/m (No. 10)
Inequivalent atoms, fractional coordinates:
Sr: 0.0000 0.0000 0.0000 x1  8 Au 3.36-3.37, 4 Sr 3.54-3.60, 2 Sc 3.71
Sc: 0.0000 0.0000 0.5000 x1  8 Au 2.93
Au: 0.5001 0.5000 0.2996 x2  4 Sc 2.93, 1 Au 2.97


[10]
DFT (PBE-GGA) results for an optimized crystal structure of SrSb2Rh.

Properties
E_form (uncorrected) = -0.4257 eV/atom
Spin magnetization = 0.00 μB per formula unit

Cell lengths 3.4877, 4.0052, 15.0516 Å; angles 90.00, 90.00, 90.00 degrees
Closest atoms and distances in Å follow each position.
Space group Imm2 (No. 44)
Inequivalent atoms, fractional coordinates:
Sr: 0.0000 0.0000 0.0000 x2  6 Sb 3.29-3.35, 2 Sr 3.49
Sb: 0.0000 0.0000 0.3643 x2  2 Rh 2.65
Sb: 0.0000 0.5000 0.1731 x2  4 Rh 2.80
Rh: 0.0000 0.5000 0.7319 x2  6 Sb 2.65-2.80


[11]
DFT (PBE-GGA) results for an optimized crystal structure of NpPa2NbN5.

Properties
E_form (uncorrected) = -1.2418 eV/atom
Spin magnetization = 2.91 μB per formula unit

Cell lengths 3.3936, 13.5151, 10.5662 Å; angles 90.00, 90.00, 90.00 degrees
Closest atoms and distances in Å follow each position.
Space group Cmc2_1 (No. 36)
Inequivalent atoms, fractional coordinates:
Np: 0.0000 0.2126 0.0000 x4  6 N 2.20-2.38
Pa: 0.0000 0.1014 0.6884 x4  8 N 2.37-2.59
Pa: 0.0000 0.1491 0.2865 x4  6 N 2.38-2.62
Nb: 0.0000 0.4761 0.4586 x4  5 N 2.06-2.29
N: 0.0000 0.0536 0.0711 x4  2 Nb 2.11, 1 Np 2.28
N: 0.0000 0.2742 0.6529 x4  2 Np 2.35, 3 Pa 2.37-2.44
N: 0.0000 0.3289 0.3506 x4  1 Nb 2.29, 2 Np 2.38, 1 Pa 2.52
N: 0.0000 0.3748 0.0149 x4  1 Nb 2.10, 1 Np 2.20
N: 0.0000 0.4738 0.7742 x4  1 Nb 2.06


[12]
DFT (PBE-GGA) results for an optimized crystal structure of MoOs3Br.

Properties
E_form (uncorrected) = 2.5023 eV/atom
Spin magnetization = 4.41 μB per formula unit

Cell lengths 4.8046, 4.8046, 4.8046 Å; angles 90.00, 90.00, 90.00 degrees
Closest atoms and distances in Å follow each position.
Space group Pm-3m (No. 221)
Inequivalent atoms, fractional coordinates:
Mo: 0.0000 0.0000 0.0000 x1  6 Os 2.40
Os: 0.0000 0.0000 0.5000 x3  2 Mo 2.40
Br: 0.5000 0.5000 0.5000 x1  12 Os 3.40


| no. | VASP energy (eV per atom) |
| --- | --- |
| 1 | -4.4527 |
| 2 | -5.6197 |
| 3 | -1.4934 |
| 4 | -7.7648 |
| 5 | -8.0116 |
| 6 | -2.8588 |
| 7 | -1.4595 |
| 8 | -6.4486 |
| 9 | -4.3755 |
| 10 | -4.7452 |
| 11 | -10.5339 |
| 12 | -6.7363 |